1.
The following is a DFT calculation (PBE) of a geometry-optimized P2PdAuO8 structure.

Cell: 4.699 4.699 8.044 Å, 73.02 73.02 60.00°
Site moments in Bohr magnetons follow the coordinates.
Fractional positions:
Au: 0.500 0.500 0.500  0.31
O: 0.598 0.271 0.164  0.04
O: 0.402 0.729 0.836  0.04
O: 0.729 0.033 0.836  0.04
O: 0.189 0.189 0.432  0.21
O: 0.271 0.967 0.164  0.04
O: 0.033 0.402 0.836  0.04
O: 0.967 0.598 0.164  0.04
O: 0.811 0.811 0.568  0.21
P: 0.742 0.742 0.774  -0.01
P: 0.258 0.258 0.226  -0.01
Pd: 0.000 0.000 0.000  0.05

N(E_F) = 0.594 states/eV/atom
SG = R-3 (148)
ρ = 5.66 g cm⁻³
formation energy from raw total energies = -1.11 eV/atom

---

2.
The following is a DFT calculation (PBE) of a geometry-optimized PmP2AuO8 structure.

Cell: 4.796 4.796 7.795 Å, 72.08 72.08 60.00°
Site moments in Bohr magnetons follow the coordinates.
Fractional positions:
P: 0.746 0.746 0.762  0.00
P: 0.254 0.254 0.238  0.00
Au: 0.500 0.500 0.500  0.82
O: 0.447 0.067 0.703  0.14
O: 0.553 0.217 0.297  0.14
O: 0.325 0.325 0.024  0.06
O: 0.933 0.553 0.297  0.14
O: 0.217 0.933 0.297  0.14
O: 0.783 0.447 0.703  0.14
O: 0.675 0.675 0.976  0.06
O: 0.067 0.783 0.703  0.14
Pm: 0.000 0.000 0.000  0.01

N(E_F) = 0.131 states/eV/atom
SG = R32 (155)
ρ = 6.08 g cm⁻³
formation energy from raw total energies = -1.85 eV/atom

---

3.
The following is a DFT calculation (PBE) of a geometry-optimized P2PtAuO8 structure.

Cell: 4.713 4.713 8.165 Å, 73.22 73.22 60.00°
Site moments in Bohr magnetons follow the coordinates.
Fractional positions:
O: 0.972 0.599 0.159  0.04
O: 0.028 0.401 0.841  0.04
O: 0.599 0.270 0.159  0.04
O: 0.808 0.808 0.575  0.13
O: 0.401 0.730 0.841  0.04
O: 0.270 0.972 0.159  0.04
O: 0.192 0.192 0.425  0.13
O: 0.730 0.028 0.841  0.04
Pt: 0.000 0.000 0.000  0.13
Au: 0.500 0.500 0.500  0.23
P: 0.258 0.258 0.225  -0.01
P: 0.742 0.742 0.775  -0.01

N(E_F) = 0.721 states/eV/atom
SG = R-3 (148)
ρ = 6.53 g cm⁻³
formation energy from raw total energies = -1.16 eV/atom

---

4.
The following is a DFT calculation (PBE) of a geometry-optimized RbP2AuO structure.

Cell: 5.408 5.408 4.236 Å, 90.00 90.00 90.00°
Site moments in Bohr magnetons follow the coordinates.
Fractional positions:
P: 0.000 0.500 0.000  0.24
P: 0.500 0.000 0.000  0.24
Au: 0.500 0.500 0.500  0.02
Rb: 0.000 0.000 0.000  -0.01
O: 0.000 0.000 0.500  0.23

N(E_F) = 0.890 states/eV/atom
SG = P4/mmm (123)
ρ = 4.83 g cm⁻³
formation energy from raw total energies = 1.85 eV/atom
relative energy among the computed polymorphs = 1.296 eV per atom

---

5.
The following is a DFT calculation (PBE) of a geometry-optimized RbPAuO2 structure.

Cell: 4.168 4.168 7.551 Å, 90.00 90.00 90.00°
Site moments in Bohr magnetons follow the coordinates.
Fractional positions:
O: 0.000 0.500 0.000  0.47
O: 0.500 0.000 0.000  0.47
Rb: 0.000 0.000 0.000  0.09
Au: 0.500 0.500 0.500  0.03
P: 0.000 0.000 0.500  0.47

N(E_F) = 0.683 states/eV/atom
SG = P4/mmm (123)
ρ = 4.37 g cm⁻³
formation energy from raw total energies = 1.32 eV/atom
relative energy among the computed polymorphs = 1.000 eV per atom

---

6.
The following is a DFT calculation (PBE) of a geometry-optimized RbPAuO2 structure.

Cell: 4.563 4.563 4.560 Å, 90.00 90.00 90.00°
Site moments in Bohr magnetons follow the coordinates.
Fractional positions:
Rb: 0.500 0.500 0.500  0.00
O: 0.500 0.000 0.000  0.15
O: 0.000 0.500 0.000  0.15
P: 0.000 0.000 0.500  -0.02
Au: 0.000 0.000 0.000  0.00

N(E_F) = 0.928 states/eV/atom
SG = P4/mmm (123)
ρ = 6.04 g cm⁻³
formation energy from raw total energies = 0.32 eV/atom
relative energy among the computed polymorphs = 0.000 eV per atom